5
Lattice="-0.791 3.941 -0.318 -2.754 -0.317 2.928 3.629 1.013 3.523" Properties=species:S:1:pos:R:3 comment="PBE-GGA CuGeIO2, optimized geometry" de_polymorph_mev_per_atom=669.6 raw_formation_energy_ev_per_atom=0.2862 mass_density_g_cm3=5.843 pbc="T T T"
O -1.377 -0.158 1.464
Ge 0.042 2.318 3.067
O -0.396 1.970 -0.159
I 1.815 0.506 1.762
Cu 0.000 0.000 0.000